Entry 1:
First-principles (PBE) data for a geometry-optimized CsAg3Hg4F12 structure, as listed in Alexandria via LeMat-Bulk.

ΔE_f (raw): -137.1 kJ/mol of atoms
volume: 353.3 Å³ per cell
M_tot: 0.14 μB per formula unit

Cell lengths 7.7139, 7.7139, 7.7139 Å; angles 109.47, 109.47, 109.47 degrees
With the nearest neighbours (Å) after each atom.
Fractional positions:
Cs: 0.0000 0.0000 0.0000  12 F 3.18
Ag: 0.0000 0.5000 0.5000  4 F 2.40
Ag: 0.5000 0.5000 0.0000  4 F 2.40
Ag: 0.5000 0.0000 0.5000  4 F 2.40
Hg: 0.5000 0.0000 0.0000  6 F 2.35
Hg: 0.5000 0.5000 0.5000  6 F 2.35
Hg: 0.0000 0.5000 0.0000  6 F 2.35
Hg: 0.0000 0.0000 0.5000  6 F 2.35
F: 0.3044 0.8144 0.1188  2 Hg 2.35, 1 Ag 2.40
F: 0.6956 0.1856 0.8812  2 Hg 2.35, 1 Ag 2.40
F: 0.6956 0.8144 0.5100  2 Hg 2.35, 1 Ag 2.40
F: 0.8812 0.6956 0.1856  2 Hg 2.35, 1 Ag 2.40
F: 0.8144 0.1188 0.3044  2 Hg 2.35, 1 Ag 2.40
F: 0.1856 0.4900 0.3044  2 Hg 2.35, 1 Ag 2.40
F: 0.4900 0.3044 0.1856  2 Hg 2.35, 1 Ag 2.40
F: 0.1856 0.8812 0.6956  2 Hg 2.35, 1 Ag 2.40
F: 0.3044 0.1856 0.4900  2 Hg 2.35, 1 Ag 2.40
F: 0.1188 0.3044 0.8144  2 Hg 2.35, 1 Ag 2.40
F: 0.8144 0.5100 0.6956  2 Hg 2.35, 1 Ag 2.40
F: 0.5100 0.6956 0.8144  2 Hg 2.35, 1 Ag 2.40

=====

Entry 2:
First-principles (PBE) data for a geometry-optimized Cs2AgHgF6 structure, as listed in Alexandria via LeMat-Bulk.

ΔE_f (raw): -186.7 kJ/mol of atoms
volume: 403.1 Å³ per cell
M_tot: 1.00 μB per formula unit

Cell lengths 6.5058, 6.5062, 9.5227 Å; angles 90.00, 90.00, 90.00 degrees
With the nearest neighbours (Å) after each atom.
Fractional positions:
Cs: 0.5000 0.7500 0.2500  12 F 3.26-3.32
Cs: 0.0000 0.2500 0.7500  12 F 3.26-3.32
Cs: 0.5000 0.7500 0.7500  12 F 3.26-3.32
Cs: 0.0000 0.2500 0.2500  12 F 3.26-3.32
Ag: 0.0000 0.7502 0.5000  4 F 2.15
Ag: 0.5000 0.2498 0.0000  4 F 2.15
Hg: 0.5000 0.2502 0.5000  2 F 2.14
Hg: 0.0000 0.7498 0.0000  2 F 2.14
F: 0.5000 0.2501 0.2756  1 Hg 2.14
F: 0.5000 0.2501 0.7244  1 Hg 2.14
F: 0.0000 0.7499 0.2244  1 Hg 2.14
F: 0.0000 0.7499 0.7756  1 Hg 2.14
F: 0.2333 0.9833 0.5000  1 Ag 2.15
F: 0.7667 0.9833 0.5000  1 Ag 2.15
F: 0.2334 0.5171 0.5000  1 Ag 2.15
F: 0.7666 0.5171 0.5000  1 Ag 2.15
F: 0.7334 0.4829 0.0000  1 Ag 2.15
F: 0.2666 0.4829 0.0000  1 Ag 2.15
F: 0.2667 0.0167 0.0000  1 Ag 2.15
F: 0.7333 0.0167 0.0000  1 Ag 2.15

=====

Entry 3:
First-principles (PBE) data for a geometry-optimized Cs2AgHg2F7 structure, as listed in Alexandria via LeMat-Bulk.

ΔE_f (raw): -169.4 kJ/mol of atoms
volume: 254.0 Å³ per cell
M_tot: 0.03 μB per formula unit

Cell lengths 4.6893, 4.6893, 12.4560 Å; angles 75.10, 75.10, 92.56 degrees
With the nearest neighbours (Å) after each atom.
Fractional positions:
Cs: 0.8588 0.8588 0.3615  4 F 2.96-3.17
Cs: 0.1412 0.1412 0.6385  4 F 2.96-3.17
Ag: 0.0000 0.0000 0.0000  4 F 2.54
Hg: 0.5328 0.5328 0.8167  6 F 2.21-2.40
Hg: 0.4672 0.4672 0.1833  6 F 2.21-2.40
F: 0.5000 0.5000 0.0000  2 Hg 2.21
F: 0.3335 0.3335 0.3794  1 Hg 2.27
F: 0.6665 0.6665 0.6206  1 Hg 2.27
F: 0.9807 0.5655 0.1735  2 Hg 2.37-2.40, 1 Ag 2.54
F: 0.5655 0.9807 0.1735  2 Hg 2.37-2.40, 1 Ag 2.54
F: 0.4345 0.0193 0.8265  2 Hg 2.37-2.40, 1 Ag 2.54
F: 0.0193 0.4345 0.8265  2 Hg 2.37-2.40, 1 Ag 2.54

=====

Entry 4:
First-principles (PBE) data for a geometry-optimized Cs3HoAg2F9 structure, as listed in Alexandria via LeMat-Bulk.

ΔE_f (raw): -252.0 kJ/mol of atoms
volume: 294.3 Å³ per cell
M_tot: 1.07 μB per formula unit

Cell lengths 6.4985, 6.4985, 8.0463 Å; angles 90.00, 90.00, 120.00 degrees
With the nearest neighbours (Å) after each atom.
Fractional positions:
Cs: 0.3333 0.6667 0.6896  12 F 3.12-3.41
Cs: 0.0000 0.0000 0.0000  12 F 3.25-3.29
Cs: 0.6667 0.3333 0.3104  12 F 3.12-3.41
Ho: 0.0000 0.0000 0.5000  6 F 2.18
Ag: 0.3333 0.6667 0.1644  6 F 2.30-2.44
Ag: 0.6667 0.3333 0.8356  6 F 2.30-2.44
F: 0.8419 0.1581 0.6560  1 Ho 2.18
F: 0.8419 0.6838 0.6560  1 Ho 2.18
F: 0.3162 0.1581 0.6560  1 Ho 2.18
F: 0.6838 0.8419 0.3440  1 Ho 2.18
F: 0.1581 0.3162 0.3440  1 Ho 2.18
F: 0.1581 0.8419 0.3440  1 Ho 2.18
F: 0.5000 0.0000 0.0000  2 Ag 2.30
F: 0.0000 0.5000 0.0000  2 Ag 2.30
F: 0.5000 0.5000 0.0000  2 Ag 2.30

=====

Entry 5:
First-principles (PBE) data for a geometry-optimized Cs2AgIF2 structure, as listed in Alexandria via LeMat-Bulk.

ΔE_f (raw): -168.4 kJ/mol of atoms
volume: 187.6 Å³ per cell
M_tot: 0.00 μB per formula unit

Cell lengths 4.7842, 4.7842, 8.1963 Å; angles 90.00, 90.00, 90.00 degrees
With the nearest neighbours (Å) after each atom.
Fractional positions:
Cs: 0.5000 0.5000 0.7611  4 F 3.09
Cs: 0.5000 0.5000 0.2389  4 F 3.09
Ag: 0.0000 0.0000 0.0000  4 F 2.39
I: 0.0000 0.0000 0.5000  8 Cs 4.00, 2 Ag 4.10
F: 0.5000 0.0000 0.0000  2 Ag 2.39
F: 0.0000 0.5000 0.0000  2 Ag 2.39

=====

Entry 6:
First-principles (PBE) data for a geometry-optimized CsAgIF2 structure, as listed in Alexandria via LeMat-Bulk.

ΔE_f (raw): -129.0 kJ/mol of atoms
volume: 135.0 Å³ per cell
M_tot: 0.00 μB per formula unit

Cell lengths 4.8571, 4.8571, 5.7220 Å; angles 90.00, 90.00, 90.00 degrees
With the nearest neighbours (Å) after each atom.
Fractional positions:
Cs: 0.5000 0.5000 0.6792  4 F 2.90
Ag: 0.0000 0.0000 0.9606  4 F 2.43
I: 0.0000 0.0000 0.4475  2 Ag 2.79-2.94
F: 0.0000 0.5000 0.9564  2 Ag 2.43
F: 0.5000 0.0000 0.9564  2 Ag 2.43

=====

Among the records above, which one has the lowest ΔE_f (raw)?
Cs3HoAg2F9

=====

The highest volume belongs to which entry?
Cs2AgHgF6

=====

Repeat the fourth record exactly.
First-principles (PBE) data for a geometry-optimized Cs3HoAg2F9 structure, as listed in Alexandria via LeMat-Bulk.

ΔE_f (raw): -252.0 kJ/mol of atoms
volume: 294.3 Å³ per cell
M_tot: 1.07 μB per formula unit

Cell lengths 6.4985, 6.4985, 8.0463 Å; angles 90.00, 90.00, 120.00 degrees
With the nearest neighbours (Å) after each atom.
Fractional positions:
Cs: 0.3333 0.6667 0.6896  12 F 3.12-3.41
Cs: 0.0000 0.0000 0.0000  12 F 3.25-3.29
Cs: 0.6667 0.3333 0.3104  12 F 3.12-3.41
Ho: 0.0000 0.0000 0.5000  6 F 2.18
Ag: 0.3333 0.6667 0.1644  6 F 2.30-2.44
Ag: 0.6667 0.3333 0.8356  6 F 2.30-2.44
F: 0.8419 0.1581 0.6560  1 Ho 2.18
F: 0.8419 0.6838 0.6560  1 Ho 2.18
F: 0.3162 0.1581 0.6560  1 Ho 2.18
F: 0.6838 0.8419 0.3440  1 Ho 2.18
F: 0.1581 0.3162 0.3440  1 Ho 2.18
F: 0.1581 0.8419 0.3440  1 Ho 2.18
F: 0.5000 0.0000 0.0000  2 Ag 2.30
F: 0.0000 0.5000 0.0000  2 Ag 2.30
F: 0.5000 0.5000 0.0000  2 Ag 2.30